1.
Computed, not measured: a relaxed structure of Ti3MnV at the PBE level of DFT.

abc: 4.4746 4.4746 4.4746
angles: 90.00 90.00 90.00
With the nearest neighbours (Å) after each atom.
Element x y z (fractional)
Ti 0.0000 0.0000 0.5000  2 Mn 2.24
Ti 0.0000 0.5000 0.0000  2 Mn 2.24
Ti 0.5000 0.0000 0.0000  2 Mn 2.24
Mn 0.0000 0.0000 0.0000  6 Ti 2.24
V 0.5000 0.5000 0.5000  12 Ti 3.16

Computed properties:
D(E_F) in states/eV/f.u.: 9.07
Energy of formation in meV/atom: 552
Symmetry: No. 221

=====

2.
Computed, not measured: a relaxed structure of PrSmZnGe at the PBE level of DFT.

abc: 5.1840 5.1840 5.1840
angles: 60.00 60.00 60.00
With the nearest neighbours (Å) after each atom.
Element x y z (fractional)
Pr 0.0000 0.0000 0.0000  4 Ge 3.17, 4 Zn 3.17
Sm 0.5000 0.5000 0.5000  4 Ge 3.17, 4 Zn 3.17
Zn 0.2500 0.2500 0.2500  4 Sm 3.17, 4 Pr 3.17
Ge 0.7500 0.7500 0.7500  4 Sm 3.17, 4 Pr 3.17

Computed properties:
D(E_F) in states/eV/f.u.: 3.08
Energy of formation in meV/atom: -516
Symmetry: No. 216

=====

3.
Computed, not measured: a relaxed structure of Ac2SbTe at the PBE level of DFT.

abc: 5.7761 5.7761 5.7761
angles: 60.00 60.00 60.00
With the nearest neighbours (Å) after each atom.
Element x y z (fractional)
Ac 0.2500 0.2500 0.2500  4 Sb 3.54, 4 Te 3.54
Ac 0.7500 0.7500 0.7500  4 Te 3.54, 4 Sb 3.54
Sb 0.0000 0.0000 0.0000  8 Ac 3.54
Te 0.5000 0.5000 0.5000  8 Ac 3.54

Computed properties:
D(E_F) in states/eV/f.u.: 3.44
ΔE_f (raw) in kJ/mol of atoms: -116.8
Symmetry: No. 225

=====

Which value of D(E_F) does entry 3 give? 3.44 states/eV/f.u.